(A)
Density functional theory data (PBE+U) for a geometry-optimized MgCoTeO structure.

extended XYZ file:
```
8
Lattice="-0.237 -0.333 2.899 -2.890 -0.396 -0.282 2.290 -15.285 -1.950" Properties=species:S:1:pos:R:3 pbc="T T T"
Mg -1.172 -12.980 -0.006
O 0.244 -2.920 1.451
Mg -1.053 -3.152 -0.160
Te -0.595 -6.086 -0.609
Te -1.618 -10.028 0.296
Co 0.703 -14.824 -1.618
O 0.418 -12.818 -1.337
Co -2.929 -1.308 1.467
```

Calculated values
Total magnetic moment ... 0.0010 μB per atom


(B)
Density functional theory data (PBE+U) for a geometry-optimized MgCoTeO structure.

extended XYZ file:
```
8
Lattice="3.443 0.000 0.000 -1.722 2.982 0.000 0.000 0.000 13.129" Properties=species:S:1:pos:R:3 pbc="T T T"
Mg 1.722 0.994 10.422
Co 0.000 0.000 6.193
Co 0.000 0.000 12.758
Mg 0.000 1.988 3.858
O 0.000 0.000 4.273
Te 1.722 0.994 1.270
O 0.000 0.000 10.838
Te 0.000 1.988 7.834
```

Calculated values
Total magnetic moment ... 0.4722 μB per atom


Pick the least stable structure from those above. Pick: (A)